No. 1
Here is crystalline TmMgAs2Pd5 at its relaxed geometry from the Alexandria database. Energies are from GGA-PBE.

Space-group type = P4/mmm (123)
DOS(E_F) = 1.5 states/eV per cell
Energy of formation from the pure elements = -699.2 meV/atom

Lattice parameters (Å, degrees): 4.201 4.201 8.783 90.00 90.00 90.00
Fractional coordinates of all 9 atoms:
Tm (0.000, 0.000, 0.000)
Mg (0.000, 0.000, 0.500)
As (0.500, 0.500, 0.139)
As (0.500, 0.500, 0.861)
Pd (0.000, 0.500, 0.282)
Pd (0.000, 0.500, 0.718)
Pd (0.500, 0.000, 0.282)
Pd (0.500, 0.000, 0.718)
Pd (0.500, 0.500, 0.500)

---

No. 2
Here is crystalline TmScSnPb at its relaxed geometry from the Alexandria database. Energies are from GGA-PBE.

Space-group type = F-43m (216)
DOS(E_F) = 12.1 states/eV per cell
Energy of formation from the pure elements = -376.0 meV/atom

Lattice parameters (Å, degrees): 7.431 7.431 7.431 90.00 90.00 90.00
Fractional coordinates of all 16 atoms:
Tm (0.000, 0.000, 0.000)
Tm (0.000, 0.500, 0.500)
Tm (0.500, 0.000, 0.500)
Tm (0.500, 0.500, 0.000)
Sc (0.000, 0.000, 0.500)
Sc (0.000, 0.500, 0.000)
Sc (0.500, 0.000, 0.000)
Sc (0.500, 0.500, 0.500)
Sn (0.250, 0.250, 0.250)
Sn (0.250, 0.750, 0.750)
Sn (0.750, 0.250, 0.750)
Sn (0.750, 0.750, 0.250)
Pb (0.250, 0.250, 0.750)
Pb (0.250, 0.750, 0.250)
Pb (0.750, 0.250, 0.250)
Pb (0.750, 0.750, 0.750)

---

No. 3
Here is crystalline LiAl3Si9N14O2 at its relaxed geometry from the Alexandria database. Energies are from GGA-PBE.

Space-group type = P1 (1)
DOS(E_F) = 0.0 states/eV per cell
Formation energy from raw total energies = -1.3231 eV/atom

Lattice parameters (Å, degrees): 5.705 7.874 7.886 60.31 89.82 89.87
Fractional coordinates of all 29 atoms:
Li (0.000, 0.000, 0.000)
Al (0.048, 0.244, 0.570)
Al (0.252, 0.423, 0.827)
Al (0.552, 0.091, 0.158)
Si (0.040, 0.181, 0.232)
Si (0.050, 0.578, 0.175)
Si (0.250, 0.762, 0.402)
Si (0.253, 0.839, 0.743)
Si (0.549, 0.752, 0.089)
Si (0.560, 0.151, 0.742)
Si (0.749, 0.584, 0.494)
Si (0.761, 0.501, 0.914)
Si (0.761, 0.919, 0.583)
N (0.002, 0.978, 0.680)
N (0.008, 0.659, 0.347)
N (0.123, 0.338, 0.314)
N (0.249, 0.013, 0.249)
N (0.254, 0.683, 0.649)
N (0.272, 0.722, 0.004)
N (0.505, 0.985, 0.662)
N (0.509, 0.683, 0.337)
N (0.627, 0.000, 0.986)
N (0.752, 0.665, 0.665)
N (0.761, 0.332, 0.615)
N (0.774, 0.617, 0.055)
N (0.782, 0.055, 0.333)
N (0.990, 0.337, 0.982)
O (0.289, 0.263, 0.721)
O (0.516, 0.359, 0.976)